# 1
VASP calculation (PBEsol) on crystalline Li2AgPb at its relaxed geometry.

a = 4.557 Å, b = 4.557 Å, c = 3.400 Å
α = 90.00°, β = 90.00°, γ = 90.00°
Space group P4/mmm (No. 123)
Unique sites:
Li: 0.000 0.500 0.000 (multiplicity 2)
Ag: 0.000 0.000 0.500 (multiplicity 1)
Pb: 0.500 0.500 0.500 (multiplicity 1)

Calculated values
The energy relative to the elements comes out at -0.23 eV per atom.

# 2
VASP calculation (PBEsol) on crystalline KYPO2 at its relaxed geometry.

a = 4.357 Å, b = 4.357 Å, c = 4.835 Å
α = 90.00°, β = 90.00°, γ = 90.00°
Space group P4/mmm (No. 123)
Unique sites:
K: 0.000 0.000 0.000 (multiplicity 1)
Y: 0.500 0.500 0.500 (multiplicity 1)
P: 0.000 0.000 0.500 (multiplicity 1)
O: 0.000 0.500 0.000 (multiplicity 2)

Calculated values
The uncorrected formation energy is 0.139 eV/atom.

# 3
VASP calculation (PBEsol) on crystalline BaInSi at its relaxed geometry.

a = 7.208 Å, b = 7.208 Å, c = 7.208 Å
α = 90.00°, β = 90.00°, γ = 90.00°
Space group F-43m (No. 216)
Unique sites:
Ba: 0.000 0.000 0.000 (multiplicity 4)
In: 0.000 0.000 0.500 (multiplicity 4)
Si: 0.250 0.250 0.250 (multiplicity 4)

Calculated values
The uncorrected formation energy is -0.119 eV/atom.

# 4
VASP calculation (PBEsol) on crystalline Hg2AsAu at its relaxed geometry.

a = 4.289 Å, b = 4.289 Å, c = 4.283 Å
α = 90.00°, β = 90.00°, γ = 90.00°
Space group P4/mmm (No. 123)
Unique sites:
Hg: 0.000 0.500 0.000 (multiplicity 2)
As: 0.000 0.000 0.500 (multiplicity 1)
Au: 0.500 0.500 0.500 (multiplicity 1)

Calculated values
The energy relative to the elements comes out at 0.22 eV per atom.

# 5
VASP calculation (PBEsol) on crystalline UGa5Pt at its relaxed geometry.

a = 4.286 Å, b = 4.286 Å, c = 6.717 Å
α = 90.00°, β = 90.00°, γ = 90.00°
Space group P4/mmm (No. 123)
Unique sites:
U: 0.000 0.000 0.000 (multiplicity 1)
Ga: 0.000 0.500 0.291 (multiplicity 4)
Ga: 0.500 0.500 0.000 (multiplicity 1)
Pt: 0.000 0.000 0.500 (multiplicity 1)

Calculated values
The energy relative to the elements comes out at -0.44 eV per atom.

# 6
VASP calculation (PBEsol) on crystalline Zn5Cr20Ga4Se40 at its relaxed geometry.

a = 16.459 Å, b = 16.459 Å, c = 10.411 Å
α = 90.00°, β = 90.00°, γ = 90.00°
Space group I-4 (No. 82)
Unique sites:
Zn: 0.000 0.000 0.000 (multiplicity 2)
Zn: 0.100 0.200 0.750 (multiplicity 8)
Cr: 0.002 0.748 0.123 (multiplicity 8)
Cr: 0.050 0.100 0.376 (multiplicity 8)
Cr: 0.051 0.602 0.880 (multiplicity 8)
Cr: 0.150 0.800 0.875 (multiplicity 8)
Cr: 0.151 0.304 0.378 (multiplicity 8)
Ga: 0.099 0.699 0.500 (multiplicity 8)
Se: 0.009 0.247 0.364 (multiplicity 8)
Se: 0.009 0.747 0.885 (multiplicity 8)
Se: 0.045 0.591 0.636 (multiplicity 8)
Se: 0.046 0.092 0.615 (multiplicity 8)
Se: 0.053 0.606 0.117 (multiplicity 8)
Se: 0.054 0.109 0.136 (multiplicity 8)
Se: 0.145 0.292 0.137 (multiplicity 8)
Se: 0.146 0.793 0.114 (multiplicity 8)
Se: 0.155 0.308 0.616 (multiplicity 8)
Se: 0.155 0.809 0.634 (multiplicity 8)

Calculated values
The uncorrected formation energy is -0.509 eV/atom.

# 7
VASP calculation (PBEsol) on crystalline K3ZnAg at its relaxed geometry.

a = 6.309 Å, b = 6.309 Å, c = 6.309 Å
α = 90.00°, β = 90.00°, γ = 90.00°
Space group Pm-3m (No. 221)
Unique sites:
K: 0.000 0.000 0.500 (multiplicity 3)
Zn: 0.500 0.500 0.500 (multiplicity 1)
Ag: 0.000 0.000 0.000 (multiplicity 1)

Calculated values
The energy relative to the elements comes out at 0.37 eV per atom.

# 8
VASP calculation (PBEsol) on crystalline Tm2MgAl at its relaxed geometry.

a = 7.169 Å, b = 7.169 Å, c = 7.169 Å
α = 90.00°, β = 90.00°, γ = 90.00°
Space group Fm-3m (No. 225)
Unique sites:
Tm: 0.250 0.250 0.250 (multiplicity 8)
Mg: 0.000 0.000 0.000 (multiplicity 4)
Al: 0.000 0.000 0.500 (multiplicity 4)

Calculated values
The energy relative to the elements comes out at -0.26 eV per atom.

# 9
VASP calculation (PBEsol) on crystalline BaSrCu at its relaxed geometry.

a = 3.853 Å, b = 3.853 Å, c = 14.190 Å
α = 90.00°, β = 90.00°, γ = 90.00°
Space group I4mm (No. 107)
Unique sites:
Ba: 0.000 0.000 0.000 (multiplicity 2)
Sr: 0.000 0.000 0.254 (multiplicity 2)
Cu: 0.000 0.000 0.634 (multiplicity 2)

Calculated values
The energy relative to the elements comes out at 0.07 eV per atom.

# 10
VASP calculation (PBEsol) on crystalline Ca2TeAu at its relaxed geometry.

a = 4.355 Å, b = 4.352 Å, c = 6.123 Å
α = 90.00°, β = 91.53°, γ = 90.00°
Space group P2/m (No. 10)
Unique sites:
Ca: 0.000 0.000 0.000 (multiplicity 1)
Ca: 0.500 0.500 0.500 (multiplicity 1)
Te: 0.000 0.000 0.500 (multiplicity 1)
Au: 0.500 0.500 0.000 (multiplicity 1)

Calculated values
The uncorrected formation energy is -0.995 eV/atom.

# 11
VASP calculation (PBEsol) on crystalline Tb2SeO2 at its relaxed geometry.

a = 3.797 Å, b = 3.797 Å, c = 12.005 Å
α = 90.00°, β = 90.00°, γ = 90.00°
Space group I4/mmm (No. 139)
Unique sites:
Tb: 0.000 0.000 0.155 (multiplicity 4)
Se: 0.000 0.000 0.500 (multiplicity 2)
O: 0.000 0.500 0.250 (multiplicity 4)

Calculated values
The uncorrected formation energy is -3.129 eV/atom.

# 12
VASP calculation (PBEsol) on crystalline NiHgO2F at its relaxed geometry.

a = 3.773 Å, b = 3.773 Å, c = 3.780 Å
α = 90.00°, β = 90.00°, γ = 90.00°
Space group P4/mmm (No. 123)
Unique sites:
Ni: 0.000 0.000 0.000 (multiplicity 1)
Hg: 0.500 0.500 0.500 (multiplicity 1)
O: 0.000 0.500 0.000 (multiplicity 2)
F: 0.000 0.000 0.500 (multiplicity 1)

Calculated values
The uncorrected formation energy is -0.582 eV/atom.